MgCu2Ir: optimized geometry, GGA-PBEsol.

```
4
Lattice="-0.203 3.531 0.931 -3.348 0.268 -1.746 -1.754 -0.949 3.218" Properties=species:S:1:pos:R:3 pbc="T T T"
Mg -0.101 1.766 0.466
Ir -2.652 1.425 1.202
Cu -1.674 0.134 -0.873
Cu -0.877 -0.475 1.609
```

Values from the calculation:
formation enthalpy at 0 K = -0.086 eV/atom
total moment = 0.0 μB/cell
total DFT energy (no corrections) = -0.189 hartree per atom